[1]
Here is a geometry-optimized Rb2TeI4 structure from the Alexandria database. Energies are from PBE.

ρ = 3.8 g/cm3
Formation energy from raw total energies = -0.91 eV per atom
ΔE to the lowest computed polymorph = 0.00 eV/f.u.
Total energy = -2.517 eV per atom

Cell lengths 8.545, 8.545, 9.776 Å; angles 90.00, 90.00, 90.00 degrees
Space group I4/mmm (No. 139)
Symmetry-distinct sites (fractional):
Rb  0.000  0.500  0.250 (multiplicity 4)
Te  0.000  0.000  0.000 (multiplicity 2)
I  0.248  0.248  0.000 (multiplicity 8)

=====

[2]
Here is a geometry-optimized Rb2TeI6 structure from the Alexandria database. Energies are from PBE.

ρ = 3.4 g/cm3
Formation energy from raw total energies = -0.69 eV per atom
Total energy = -2.291 eV per atom

Cell lengths 8.131, 8.131, 15.565 Å; angles 90.00, 90.00, 90.00 degrees
Space group P4_2/mnm (No. 136)
Symmetry-distinct sites (fractional):
Rb  0.000  0.000  0.166 (multiplicity 4)
Te  0.000  0.000  0.500 (multiplicity 2)
I  0.180  0.180  0.362 (multiplicity 8)
I  0.241  0.241  0.000 (multiplicity 4)

=====

[3]
Here is a geometry-optimized RbTeI3 structure from the Alexandria database. Energies are from PBE.

ρ = 3.6 g/cm3
Formation energy from raw total energies = -0.64 eV per atom
ΔE to the lowest computed polymorph = 0.06 eV/f.u.
Total energy = -2.387 eV per atom

Cell lengths 5.760, 6.154, 9.093 Å; angles 104.10, 90.14, 117.04 degrees
Space group P1 (No. 1)
Symmetry-distinct sites (fractional):
Rb  0.000  0.000  0.000 (multiplicity 1)
Te  0.497  0.996  0.490 (multiplicity 1)
I  0.064  0.134  0.469 (multiplicity 1)
I  0.362  0.718  0.158 (multiplicity 1)
I  0.632  0.272  0.822 (multiplicity 1)